{"formula": "CaReMo2", "functional": "PBE", "state": "relaxed", "cell": [[2.7220, 0.0000, 0.0000], [0.0000, 4.5357, 0.0000], [-0.7929, 0.0000, 5.6781]], "species": ["Ca", "Re", "Mo", "Mo"], "frac_coords": [[0.0000, 0.0000, 0.0000], [0.2815, 0.5000, 0.7259], [0.5145, 0.0000, 0.5046], [0.7516, 0.5000, 0.2731]], "space_group": "Pm", "relative_energy_ev_per_atom": 0.095, "formation_enthalpy_0k_kj_per_mol_atoms": 55, "m_tot_mub_per_fu": 0.0}

---

{"formula": "CaRe2Mo2", "functional": "PBE", "state": "relaxed", "cell": [[-2.1833, 2.1833, 5.3103], [2.1833, -2.1833, 5.3103], [2.1833, 2.1833, -5.3103]], "species": ["Ca", "Re", "Re", "Mo", "Mo"], "frac_coords": [[0.0000, 0.0000, 0.0000], [0.2500, 0.7500, 0.5000], [0.7500, 0.2500, 0.5000], [0.3729, 0.3729, 0.0000], [0.6271, 0.6271, 0.0000]], "space_group": "I4/mmm", "relative_energy_ev_per_atom": 0.087, "formation_enthalpy_0k_kj_per_mol_atoms": 40, "m_tot_mub_per_fu": 0.0}

---

{"formula": "CaReMo2", "functional": "PBE", "state": "relaxed", "cell": [[-1.5653, 2.4088, 4.6810], [1.5653, -2.4088, 4.6810], [1.5653, 2.4088, -4.6810]], "species": ["Ca", "Re", "Mo", "Mo"], "frac_coords": [[0.0000, 0.0000, 0.0000], [0.7301, 0.2301, 0.5000], [0.2703, 0.7703, 0.5000], [0.5075, 0.5075, 0.0000]], "space_group": "Imm2", "relative_energy_ev_per_atom": 0.128, "formation_enthalpy_0k_kj_per_mol_atoms": 58, "m_tot_mub_per_fu": 0.0}

---

{"formula": "CaReMo2", "functional": "PBE", "state": "relaxed", "cell": [[3.1057, 0.0000, 0.0000], [0.0000, 4.7037, 0.0000], [0.0000, 0.0000, 4.7234]], "species": ["Ca", "Re", "Mo", "Mo"], "frac_coords": [[0.0000, 0.0000, 0.0000], [0.5000, 0.0000, 0.5000], [0.0000, 0.5000, 0.5000], [0.5000, 0.5000, 0.0000]], "space_group": "Pmmm", "relative_energy_ev_per_atom": 0.323, "formation_enthalpy_0k_kj_per_mol_atoms": 77, "m_tot_mub_per_fu": 0.0}

---

{"formula": "CaReMo2", "functional": "PBE", "state": "relaxed", "cell": [[1.6203, -2.2796, 0.0000], [1.6203, 2.2796, 0.0000], [0.0000, 0.0000, 9.6411]], "species": ["Ca", "Re", "Mo", "Mo"], "frac_coords": [[0.0000, 0.0000, 0.0000], [0.0000, 0.0000, 0.5000], [0.5000, 0.5000, 0.2797], [0.5000, 0.5000, 0.7203]], "space_group": "Cmmm", "relative_energy_ev_per_atom": 0.054, "formation_enthalpy_0k_kj_per_mol_atoms": 51, "m_tot_mub_per_fu": 0.0}

---

{"formula": "CaReMo2", "functional": "PBE", "state": "relaxed", "cell": [[0.0000, 3.2517, 3.2517], [3.2517, 0.0000, 3.2517], [3.2517, 3.2517, 0.0000]], "species": ["Ca", "Re", "Mo", "Mo"], "frac_coords": [[0.0000, 0.0000, 0.0000], [0.2500, 0.2500, 0.2500], [0.5000, 0.5000, 0.5000], [0.7500, 0.7500, 0.7500]], "space_group": "F-43m", "relative_energy_ev_per_atom": 0.224, "formation_enthalpy_0k_kj_per_mol_atoms": 67, "m_tot_mub_per_fu": 0.0}

---

{"formula": "CaRe3Mo", "functional": "PBE", "state": "relaxed", "cell": [[4.7911, 0.0000, 0.0000], [0.0000, 4.7911, 0.0000], [0.0000, 0.0000, 4.7911]], "species": ["Ca", "Re", "Re", "Re", "Mo"], "frac_coords": [[0.0000, 0.0000, 0.0000], [0.0000, 0.5000, 0.5000], [0.5000, 0.0000, 0.5000], [0.5000, 0.5000, 0.0000], [0.5000, 0.5000, 0.5000]], "space_group": "Pm-3m", "relative_energy_ev_per_atom": 0.000, "formation_enthalpy_0k_kj_per_mol_atoms": 159, "m_tot_mub_per_fu": 2.2}

---

{"formula": "CaRe2Mo2", "functional": "PBE", "state": "relaxed", "cell": [[7.8968, 0.0000, 0.0000], [0.0000, 7.8968, 0.0000], [0.0000, 0.0000, 2.8651]], "species": ["Ca", "Ca", "Re", "Re", "Re", "Re", "Mo", "Mo", "Mo", "Mo"], "frac_coords": [[0.0000, 0.0000, 0.0000], [0.5000, 0.5000, 0.0000], [0.1449, 0.3551, 0.5000], [0.3551, 0.8551, 0.5000], [0.6449, 0.1449, 0.5000], [0.8551, 0.6449, 0.5000], [0.1458, 0.6458, 0.0000], [0.3542, 0.1458, 0.0000], [0.6458, 0.8542, 0.0000], [0.8542, 0.3542, 0.0000]], "space_group": "P4/mbm", "relative_energy_ev_per_atom": 0.000, "formation_enthalpy_0k_kj_per_mol_atoms": 31, "m_tot_mub_per_fu": 0.0}

---

{"formula": "CaReMo2", "functional": "PBE", "state": "relaxed", "cell": [[3.9180, 0.0000, 0.0000], [0.0000, 3.9180, 0.0000], [0.0000, 0.0000, 4.6170]], "species": ["Ca", "Re", "Mo", "Mo"], "frac_coords": [[0.0000, 0.0000, 0.0000], [0.5000, 0.5000, 0.0000], [0.0000, 0.5000, 0.5000], [0.5000, 0.0000, 0.5000]], "space_group": "P4/mmm", "relative_energy_ev_per_atom": 0.538, "formation_enthalpy_0k_kj_per_mol_atoms": 98, "m_tot_mub_per_fu": 0.0}

---

{"formula": "CaReMo2", "functional": "PBE", "state": "relaxed", "cell": [[0.0000, 3.2416, 3.2416], [3.2416, 0.0000, 3.2416], [3.2416, 3.2416, 0.0000]], "species": ["Ca", "Re", "Mo", "Mo"], "frac_coords": [[0.0000, 0.0000, 0.0000], [0.5000, 0.5000, 0.5000], [0.2500, 0.2500, 0.2500], [0.7500, 0.7500, 0.7500]], "space_group": "Fm-3m", "relative_energy_ev_per_atom": 0.147, "formation_enthalpy_0k_kj_per_mol_atoms": 60, "m_tot_mub_per_fu": 0.0}

---

{"formula": "CaReMo2", "functional": "PBE", "state": "relaxed", "cell": [[2.8416, 0.0000, 0.0000], [0.0000, 4.3461, 0.0000], [-1.0504, 0.0000, 6.0517]], "species": ["Ca", "Re", "Mo", "Mo"], "frac_coords": [[0.0000, 0.0000, 0.0000], [0.5000, 0.0000, 0.5000], [0.2388, 0.5000, 0.6932], [0.7612, 0.5000, 0.3068]], "space_group": "P2/m", "relative_energy_ev_per_atom": 0.084, "formation_enthalpy_0k_kj_per_mol_atoms": 54, "m_tot_mub_per_fu": 0.0}

---

{"formula": "CaReMo2", "functional": "PBE", "state": "relaxed", "cell": [[1.6183, -2.2626, 0.0000], [1.6183, 2.2626, 0.0000], [0.0000, 0.0000, 9.6175]], "species": ["Ca", "Re", "Mo", "Mo"], "frac_coords": [[0.0000, 0.0000, 0.0000], [0.5000, 0.5000, 0.2693], [0.0000, 0.0000, 0.4919], [0.5000, 0.5000, 0.7175]], "space_group": "Cmm2", "relative_energy_ev_per_atom": 0.000, "formation_enthalpy_0k_kj_per_mol_atoms": 46, "m_tot_mub_per_fu": 0.0}